1.
Entry from Alexandria: a geometry-optimized Ho3Al7Ga4 structure (GGA-PBE).

## Properties
DOS(E_F) in states/eV per cell: 4.2
Theoretical density in g/cm3: 6.02
Formation energy in kcal/mol of atoms: -9.08

abc: 4.1614 8.2571 8.5429
angles: 71.86 75.90 75.40
Closest atoms and distances in Å follow each position.
Atoms (fractional coordinates):
1 Ho 0.3203 0.1748 0.1847  4 Ga 3.04-3.08, 10 Al 3.12-3.37
2 Ho 0.6797 0.8252 0.8153  4 Ga 3.04-3.08, 10 Al 3.12-3.37
3 Ho 0.0000 0.5000 0.5000  6 Ga 3.13-3.16, 10 Al 3.40-3.50
4 Al 0.3229 0.8307 0.5235  4 Ga 2.54-2.67, 1 Al 2.80
5 Al 0.4887 0.2274 0.7951  3 Ga 2.59-2.69, 3 Al 2.80-2.81
6 Al 0.8434 0.3871 0.9261  3 Ga 2.64-2.70, 2 Al 2.81
7 Al 0.6771 0.1693 0.4765  4 Ga 2.54-2.67, 1 Al 2.80
8 Al 0.1566 0.6129 0.0739  3 Ga 2.64-2.70, 2 Al 2.81
9 Al 0.0000 0.0000 0.0000  2 Ga 2.71, 6 Al 2.98-2.99
10 Al 0.5113 0.7726 0.2049  3 Ga 2.59-2.69, 3 Al 2.80-2.81
11 Ga 0.6623 0.4418 0.2336  5 Al 2.54-2.70
12 Ga 0.3377 0.5582 0.7664  5 Al 2.54-2.70
13 Ga 0.8793 0.9017 0.3397  6 Al 2.55-2.71
14 Ga 0.1207 0.0983 0.6603  6 Al 2.55-2.71

=====

2.
Entry from Alexandria: a geometry-optimized Ho3AlGa2 structure (GGA-PBE).

## Properties
DOS(E_F) in states/eV per cell: 19.4
Theoretical density in g/cm3: 7.78
Formation energy in kcal/mol of atoms: -11.83

abc: 4.4447 10.9220 11.6222
angles: 90.00 90.00 90.00
Closest atoms and distances in Å follow each position.
Atoms (fractional coordinates):
1 Ho 0.2500 0.3711 0.0469  5 Ga 2.96-3.17, 1 Al 3.06
2 Ho 0.7500 0.6289 0.9531  5 Ga 2.96-3.17, 1 Al 3.06
3 Ho 0.7500 0.8711 0.4531  5 Ga 2.96-3.17, 1 Al 3.06
4 Ho 0.2500 0.1289 0.5469  5 Ga 2.96-3.17, 1 Al 3.06
5 Ho 0.2500 0.6792 0.2070  2 Al 3.07, 4 Ga 3.07-3.24, 1 Ho 3.39
6 Ho 0.7500 0.3208 0.7930  2 Al 3.07, 4 Ga 3.07-3.24, 1 Ho 3.39
7 Ho 0.7500 0.1792 0.2930  2 Al 3.07, 4 Ga 3.07-3.24, 1 Ho 3.39
8 Ho 0.2500 0.8208 0.7070  2 Al 3.07, 4 Ga 3.07-3.24, 1 Ho 3.39
9 Ho 0.2500 0.4126 0.3564  5 Ga 3.01-3.16, 3 Al 3.06-3.13
10 Ho 0.7500 0.5874 0.6436  5 Ga 3.01-3.16, 3 Al 3.06-3.13
11 Ho 0.7500 0.9126 0.1436  5 Ga 3.01-3.16, 3 Al 3.06-3.13
12 Ho 0.2500 0.0874 0.8564  5 Ga 3.01-3.16, 3 Al 3.06-3.13
13 Al 0.2500 0.1035 0.1255  3 Ga 2.62-2.66
14 Al 0.7500 0.8965 0.8745  3 Ga 2.62-2.66
15 Al 0.7500 0.6035 0.3745  3 Ga 2.62-2.66
16 Al 0.2500 0.3965 0.6255  3 Ga 2.62-2.66
17 Ga 0.2500 0.6673 0.4855  2 Al 2.66
18 Ga 0.7500 0.3327 0.5145  2 Al 2.66
19 Ga 0.7500 0.1673 0.0145  2 Al 2.66
20 Ga 0.2500 0.8327 0.9855  2 Al 2.66
21 Ga 0.2500 0.9767 0.3169  1 Al 2.62
22 Ga 0.7500 0.0233 0.6831  1 Al 2.62
23 Ga 0.7500 0.4767 0.1831  1 Al 2.62
24 Ga 0.2500 0.5233 0.8169  1 Al 2.62

=====

3.
Entry from Alexandria: a geometry-optimized HoAl6Ga structure (GGA-PBE).

## Properties
DOS(E_F) in states/eV per cell: 2.6
Theoretical density in g/cm3: 4.46
Formation energy in kcal/mol of atoms: -2.96

abc: 4.8414 5.8216 5.8216
angles: 115.84 90.00 90.00
Closest atoms and distances in Å follow each position.
Atoms (fractional coordinates):
1 Ho 0.5000 0.5000 0.5000  8 Al 2.91-3.02, 2 Ga 3.09
2 Al 0.0000 0.7231 0.2769  10 Al 2.85-3.14
3 Al 0.0000 0.2769 0.7231  10 Al 2.85-3.14
4 Al 0.0000 0.7932 0.7932  3 Al 2.56-2.85, 2 Ga 2.74
5 Al 0.0000 0.2068 0.2068  3 Al 2.56-2.85, 2 Ga 2.74
6 Al 0.5000 0.5000 0.0000  6 Al 2.88-3.09, 2 Ga 2.91, 2 Ho 2.91
7 Al 0.5000 0.0000 0.5000  6 Al 2.88-3.09, 2 Ho 2.91, 2 Ga 2.91
8 Ga 0.5000 0.0000 0.0000  8 Al 2.74-2.91

=====

4.
Entry from Alexandria: a geometry-optimized Ho3AlGa5 structure (GGA-PBE).

## Properties
DOS(E_F) in states/eV per cell: 8.4
Theoretical density in g/cm3: 7.28
Formation energy in kcal/mol of atoms: -7.54

abc: 8.3571 8.3571 8.2014
angles: 120.63 120.63 90.00
Closest atoms and distances in Å follow each position.
Atoms (fractional coordinates):
1 Ho 0.6332 0.1332 0.0000  2 Ga 2.78
2 Ho 0.3668 0.8669 0.0000  2 Ga 2.78
3 Ho 0.8668 0.6332 0.0000  2 Ga 2.78
4 Ho 0.1332 0.3668 0.0000  2 Ga 2.78
5 Ho 0.2500 0.2500 0.5000  2 Ga 2.84
6 Ho 0.7500 0.7500 0.5000  2 Ga 2.84
7 Al 0.7500 0.2500 0.5000  4 Ga 2.43
8 Al 0.2500 0.7500 0.5000  4 Ga 2.43
9 Ga 0.0298 0.5298 0.6908  1 Al 2.43, 1 Ga 2.67
10 Ga 0.6610 0.1610 0.6908  1 Al 2.43, 1 Ga 2.67
11 Ga 0.1610 0.0298 0.6908  1 Al 2.43, 1 Ga 2.67
12 Ga 0.5298 0.6610 0.6908  1 Al 2.43, 1 Ga 2.67
13 Ga 0.9702 0.4702 0.3092  1 Al 2.43, 1 Ga 2.67
14 Ga 0.3390 0.8390 0.3092  1 Al 2.43, 1 Ga 2.67
15 Ga 0.8390 0.9702 0.3092  1 Al 2.43, 1 Ga 2.67
16 Ga 0.4702 0.3390 0.3092  1 Al 2.43, 1 Ga 2.67
17 Ga 0.5000 0.5000 0.0000  2 Ho 2.84
18 Ga 0.0000 0.0000 0.0000  2 Ho 2.84

=====

5.
Entry from Alexandria: a geometry-optimized Ho3AlGa3 structure (GGA-PBE).

## Properties
DOS(E_F) in states/eV per cell: 10.7
Theoretical density in g/cm3: 7.80
Formation energy in kcal/mol of atoms: -14.05

abc: 4.3400 5.8478 13.3944
angles: 83.95 80.68 68.22
Closest atoms and distances in Å follow each position.
Atoms (fractional coordinates):
1 Ho 0.5199 0.3357 0.6244  6 Ga 3.01-3.14, 3 Al 3.14-3.17
2 Ho 0.4801 0.6643 0.3756  6 Ga 3.01-3.14, 3 Al 3.14-3.17
3 Ho 0.2616 0.2543 0.2226  6 Ga 3.00-3.19, 2 Al 3.23
4 Ho 0.7384 0.7457 0.7774  6 Ga 3.00-3.19, 2 Al 3.23
5 Ho 0.3939 0.2887 0.9235  7 Ga 3.02-3.22
6 Ho 0.6061 0.7113 0.0765  7 Ga 3.02-3.22
7 Al 0.7640 0.0792 0.3927  4 Ga 2.59-2.75
8 Al 0.2360 0.9208 0.6073  4 Ga 2.59-2.75
9 Ga 0.8697 0.7152 0.5454  3 Al 2.59-2.75, 1 Ga 2.68
10 Ga 0.1303 0.2848 0.4546  3 Al 2.59-2.75, 1 Ga 2.68
11 Ga 0.1116 0.8514 0.9253  2 Ga 2.61-2.63
12 Ga 0.8884 0.1486 0.0747  2 Ga 2.61-2.63
13 Ga 0.9744 0.8230 0.2283  1 Ga 2.63, 1 Al 2.64
14 Ga 0.0256 0.1770 0.7717  1 Ga 2.63, 1 Al 2.64

=====

6.
Entry from Alexandria: a geometry-optimized HoAl3Ga4 structure (GGA-PBE).

## Properties
DOS(E_F) in states/eV per cell: 3.3
Theoretical density in g/cm3: 5.44
Formation energy in kcal/mol of atoms: -1.27

abc: 3.3341 6.8983 7.9443
angles: 115.73 102.11 90.00
Closest atoms and distances in Å follow each position.
Atoms (fractional coordinates):
1 Ho 0.5000 0.0000 0.0000  4 Ga 2.96, 4 Al 3.07
2 Ga 0.3536 0.5434 0.7071  1 Ga 2.62, 3 Al 2.69-2.77
3 Ga 0.6464 0.4566 0.2929  1 Ga 2.62, 3 Al 2.69-2.77
4 Ga 0.6464 0.8363 0.2929  1 Ga 2.62, 3 Al 2.69-2.77
5 Ga 0.3536 0.1637 0.7071  1 Ga 2.62, 3 Al 2.69-2.77
6 Al 0.1851 0.1851 0.3701  6 Ga 2.69-2.77
7 Al 0.8149 0.8149 0.6299  6 Ga 2.69-2.77
8 Al 0.0000 0.5000 0.0000  8 Ga 2.94

=====

7.
Entry from Alexandria: a geometry-optimized HoAl3Ga structure (GGA-PBE).

## Properties
DOS(E_F) in states/eV per cell: 8.1
Theoretical density in g/cm3: 4.20
Formation energy in kcal/mol of atoms: 2.83

abc: 5.3367 5.3367 9.5317
angles: 106.26 106.26 90.00
Closest atoms and distances in Å follow each position.
Atoms (fractional coordinates):
1 Ho 0.5491 0.0491 0.0982  2 Ga 2.80, 2 Al 3.12
2 Ho 0.9509 0.4509 0.9018  2 Ga 2.80, 2 Al 3.12
3 Al 0.6237 0.8767 0.7533  2 Ga 2.55-2.58, 2 Al 2.64-2.70
4 Al 0.1233 0.8703 0.2467  2 Ga 2.55-2.58, 2 Al 2.64-2.70
5 Al 0.1233 0.3763 0.2467  2 Ga 2.55-2.58, 2 Al 2.64-2.70
6 Al 0.1297 0.8767 0.7533  2 Ga 2.55-2.58, 2 Al 2.64-2.70
7 Al 0.3589 0.3589 0.7179  4 Al 2.99, 2 Ho 3.12, 2 Ga 3.28
8 Al 0.6411 0.6411 0.2821  4 Al 2.99, 2 Ho 3.12, 2 Ga 3.28
9 Ga 0.0000 0.0000 0.0000  4 Al 2.55, 4 Ho 2.80
10 Ga 0.2500 0.7500 0.5000  4 Al 2.58

=====

8.
Entry from Alexandria: a geometry-optimized Ho6Al2Ga structure (GGA-PBE).

## Properties
DOS(E_F) in states/eV per cell: 13.3
Theoretical density in g/cm3: 7.70
Formation energy in kcal/mol of atoms: -6.97

abc: 8.5483 8.5483 8.5483
angles: 70.75 68.77 107.95
Closest atoms and distances in Å follow each position.
Atoms (fractional coordinates):
1 Ho 0.1754 0.7386 0.0860  1 Ga 3.09, 3 Al 3.15-3.18, 1 Ho 3.39
2 Ho 0.8246 0.2614 0.9140  1 Ga 3.09, 3 Al 3.15-3.18, 1 Ho 3.39
3 Ho 0.1754 0.2614 0.5633  1 Ga 3.09, 3 Al 3.15-3.18, 1 Ho 3.39
4 Ho 0.8246 0.7386 0.4367  1 Ga 3.09, 3 Al 3.15-3.18, 1 Ho 3.39
5 Ho 0.4488 0.2527 0.8040  2 Al 3.00-3.17, 2 Ga 3.12-3.17
6 Ho 0.5512 0.7473 0.1960  2 Al 3.00-3.17, 2 Ga 3.12-3.17
7 Ho 0.0567 0.2527 0.1960  2 Al 3.00-3.17, 2 Ga 3.12-3.17
8 Ho 0.9433 0.7473 0.8040  2 Al 3.00-3.17, 2 Ga 3.12-3.17
9 Ho 0.3260 0.0434 0.2827  3 Al 2.93-3.08
10 Ho 0.6740 0.9566 0.7173  3 Al 2.93-3.08
11 Ho 0.3260 0.6087 0.7173  3 Al 2.93-3.08
12 Ho 0.6740 0.3913 0.2827  3 Al 2.93-3.08
13 Al 0.1275 0.6275 0.5000  1 Al 2.56
14 Al 0.8725 0.3725 0.5000  1 Al 2.56
15 Al 0.3608 0.0000 0.6392  1 Al 2.69, 2 Ho 3.00
16 Al 0.6392 0.0000 0.3608  1 Al 2.69, 2 Ho 3.00
17 Ga 0.5000 0.5000 0.0000  8 Ho 3.12-3.30
18 Ga 0.0000 0.0000 0.0000  8 Ho 3.09-3.17